P | # NiW2Se2

NiW2Se2 after structural relaxation (PBE, Alexandria).

Calculated values
As for the space group: I4/mmm, No. 139.

Cell: 4.880 4.880 5.239 Å, 62.25 62.25 90.00°
Fractional coordinates of all 5 atoms:
Ni  0.000  0.000  0.000
Se  0.750  0.250  0.500
Se  0.250  0.750  0.500
W  0.354  0.354  0.293
W  0.646  0.646  0.707



Q | # NiW2Se2

NiW2Se2 after structural relaxation (PBE, Alexandria).

Calculated values
As for the space group: P4/mbm, No. 127.

Cell: 6.711 6.711 3.633 Å, 90.00 90.00 90.00°
Fractional coordinates of all 10 atoms:
Ni  0.000  0.000  0.000
Ni  0.500  0.500  0.000
Se  0.157  0.657  0.500
Se  0.657  0.843  0.500
Se  0.843  0.343  0.500
Se  0.343  0.157  0.500
W  0.361  0.861  0.000
W  0.861  0.639  0.000
W  0.639  0.139  0.000
W  0.139  0.361  0.000



Energies in meV per atom, measured from the most stable structure: P 160; Q 0.



P | # NiWSe2

NiWSe2 after structural relaxation (PBE, Alexandria).

Calculated values
As for the space group: I-4m2, No. 119.

Cell: 5.306 5.306 5.306 Å, 139.17 139.17 59.12°
Site moments in Bohr magnetons follow the coordinates.
Fractional coordinates of all 4 atoms:
Ni  0.750  0.250  0.500  0.02
Se  0.000  0.000  0.000  -0.01
Se  0.250  0.750  0.500  -0.02
W  0.500  0.500  0.000  0.61



Q | # NiWSe2

NiWSe2 after structural relaxation (PBE, Alexandria).

Calculated values
As for the space group: Fm-3m, No. 225.

Cell: 4.445 4.445 4.445 Å, 60.00 60.00 60.00°
Site moments in Bohr magnetons follow the coordinates.
Fractional coordinates of all 4 atoms:
Ni  0.000  0.000  0.000  0.67
Se  0.250  0.250  0.250  0.04
Se  0.750  0.750  0.750  0.04
W  0.500  0.500  0.500  0.78



Energies in meV per atom, measured from the most stable structure: P 241; Q 0.



P | # NiWSe2

NiWSe2 after structural relaxation (PBE, Alexandria).

Calculated values
As for the space group: Cm, No. 8.

Cell: 4.770 4.770 6.534 Å, 86.15 86.15 40.81°
Fractional coordinates of all 4 atoms:
Ni  0.190  0.190  0.390
Se  0.031  0.031  0.115
Se  0.799  0.799  0.599
W  0.479  0.479  0.395



Q | # NiWSe2

NiWSe2 after structural relaxation (PBE, Alexandria).

Calculated values
As for the space group: R3m, No. 160.

Cell: 9.633 9.633 9.633 Å, 18.54 18.54 18.54°
Fractional coordinates of all 4 atoms:
Ni  0.753  0.753  0.753
Se  0.033  0.033  0.033
Se  0.222  0.222  0.222
W  0.493  0.493  0.493



R | # NiWSe2

NiWSe2 after structural relaxation (PBE, Alexandria).

Calculated values
As for the space group: I-42d, No. 122.

Cell: 5.647 5.647 6.569 Å, 64.55 64.55 90.00°
Fractional coordinates of all 8 atoms:
Ni  0.500  0.500  0.000
Ni  0.250  0.750  0.500
Se  0.609  0.125  0.250
Se  0.141  0.625  0.250
Se  0.375  0.391  0.750
Se  0.875  0.859  0.750
W  0.000  0.000  0.000
W  0.750  0.250  0.500



S | # NiWSe2

NiWSe2 after structural relaxation (PBE, Alexandria).

Calculated values
As for the space group: R-3m, No. 166.

Cell: 8.237 8.237 8.237 Å, 22.65 22.65 22.65°
Site moments in Bohr magnetons follow the coordinates.
Fractional coordinates of all 4 atoms:
Ni  0.000  0.000  0.000  0.06
Se  0.906  0.906  0.906  0.00
Se  0.094  0.094  0.094  0.00
W  0.500  0.500  0.500  0.01



Energies in meV per atom, measured from the most stable structure: P 14; Q 0; R 197; S 55.



P | # NiWSe3

NiWSe3 after structural relaxation (PBE, Alexandria).

Calculated values
As for the space group: Pm-3m, No. 221.

Cell: 4.921 4.921 4.921 Å, 90.00 90.00 90.00°
Site moments in Bohr magnetons follow the coordinates.
Fractional coordinates of all 5 atoms:
Ni  0.500  0.500  0.500  0.89
Se  0.000  0.500  0.000  0.11
Se  0.000  0.000  0.500  0.07
Se  0.500  0.000  0.000  0.07
W  0.000  0.000  0.000  -0.14



Q | # NiWSe3

NiWSe3 after structural relaxation (PBE, Alexandria).

Calculated values
As for the space group: Ama2, No. 40.

Cell: 3.436 6.029 11.793 Å, 104.81 90.00 90.00°
Fractional coordinates of all 10 atoms:
Ni  0.250  0.756  0.277
Ni  0.750  0.479  0.723
W  0.250  0.117  0.668
W  0.750  0.449  0.332
Se  0.750  0.877  0.744
Se  0.750  0.582  0.155
Se  0.750  0.236  0.535
Se  0.250  0.427  0.845
Se  0.250  0.133  0.256
Se  0.250  0.701  0.465



Energies in meV per atom, measured from the most stable structure: P 1049; Q 0.



P | # YNi2Se2

YNi2Se2 after structural relaxation (PBE, Alexandria).

Calculated values
As for the space group: I4/mmm, No. 139.

Cell: 3.790 3.790 6.520 Å, 73.10 73.10 90.00°
Fractional coordinates of all 5 atoms:
Y  0.000  0.000  0.000
Ni  0.750  0.250  0.500
Ni  0.250  0.750  0.500
Se  0.373  0.373  0.254
Se  0.627  0.627  0.746



Q | # YNi2Se2

YNi2Se2 after structural relaxation (PBE, Alexandria).

Calculated values
As for the space group: P4/mbm, No. 127.

Cell: 7.258 7.258 3.330 Å, 90.00 90.00 90.00°
Fractional coordinates of all 10 atoms:
Y  0.000  0.000  0.000
Y  0.500  0.500  0.000
Ni  0.130  0.630  0.500
Ni  0.630  0.870  0.500
Ni  0.870  0.370  0.500
Ni  0.370  0.130  0.500
Se  0.343  0.843  0.000
Se  0.843  0.657  0.000
Se  0.657  0.157  0.000
Se  0.157  0.343  0.000



Energies in meV per atom, measured from the most stable structure: P 0; Q 339.



P | # YNi3Se

YNi3Se after structural relaxation (PBE, Alexandria).

Calculated values
As for the space group: Pm-3m, No. 221.

Cell: 4.718 4.718 4.718 Å, 90.00 90.00 90.00°
Fractional coordinates of all 5 atoms:
Y  0.000  0.000  0.000
Ni  0.000  0.500  0.000
Ni  0.000  0.000  0.500
Ni  0.500  0.000  0.000
Se  0.500  0.500  0.500



Q | # YNi3Se

YNi3Se after structural relaxation (PBE, Alexandria).

Calculated values
As for the space group: Pm-3m, No. 221.

Cell: 4.414 4.414 4.414 Å, 90.00 90.00 90.00°
Fractional coordinates of all 5 atoms:
Y  0.500  0.500  0.500
Ni  0.000  0.500  0.000
Ni  0.000  0.000  0.500
Ni  0.500  0.000  0.000
Se  0.000  0.000  0.000



Energies in meV per atom, measured from the most stable structure: P 1423; Q 0.



P | # Zn2NiSe2

Zn2NiSe2 after structural relaxation (PBE, Alexandria).

Calculated values
As for the space group: I4/mmm, No. 139.

Cell: 3.575 3.575 8.208 Å, 77.42 77.42 90.00°
Fractional coordinates of all 5 atoms:
Ni  0.000  0.000  0.000
Zn  0.423  0.423  0.155
Zn  0.577  0.577  0.845
Se  0.750  0.250  0.500
Se  0.250  0.750  0.500



Q | # Zn2NiSe2

Zn2NiSe2 after structural relaxation (PBE, Alexandria).

Calculated values
As for the space group: P4/mbm, No. 127.

Cell: 6.947 6.947 3.574 Å, 90.00 90.00 90.00°
Site moments in Bohr magnetons follow the coordinates.
Fractional coordinates of all 10 atoms:
Ni  0.000  0.000  0.000  0.32
Ni  0.500  0.500  0.000  0.32
Zn  0.364  0.864  0.000  -0.01
Zn  0.864  0.636  0.000  -0.01
Zn  0.636  0.136  0.000  -0.01
Zn  0.136  0.364  0.000  -0.01
Se  0.180  0.680  0.500  0.04
Se  0.680  0.820  0.500  0.04
Se  0.820  0.320  0.500  0.04
Se  0.320  0.180  0.500  0.04



R | # Zn2NiSe2

Zn2NiSe2 after structural relaxation (PBE, Alexandria).

Calculated values
As for the space group: I4/mmm, No. 139.

Cell: 7.149 7.149 7.149 Å, 149.38 149.38 43.85°
Site moments in Bohr magnetons follow the coordinates.
Fractional coordinates of all 5 atoms:
Zn  0.250  0.750  0.500  -0.01
Zn  0.750  0.250  0.500  -0.01
Ni  0.000  0.000  0.000  0.33
Se  0.616  0.616  0.000  0.00
Se  0.384  0.384  0.000  0.00



Energies in meV per atom, measured from the most stable structure: P 289; Q 0; R 102.



P | # ZrNi2Se2

ZrNi2Se2 after structural relaxation (PBE, Alexandria).

Calculated values
As for the space group: P4/mbm, No. 127.

Cell: 7.052 7.052 3.223 Å, 90.00 90.00 90.00°
Fractional coordinates of all 10 atoms:
Ni  0.136  0.636  0.500
Ni  0.636  0.864  0.500
Ni  0.864  0.364  0.500
Ni  0.364  0.136  0.500
Se  0.339  0.839  0.000
Se  0.839  0.661  0.000
Se  0.661  0.161  0.000
Se  0.161  0.339  0.000
Zr  0.000  0.000  0.000
Zr  0.500  0.500  0.000



Q | # ZrNi2Se2

ZrNi2Se2 after structural relaxation (PBE, Alexandria).

Calculated values
As for the space group: I4/mmm, No. 139.

Cell: 3.534 3.534 6.815 Å, 74.97 74.97 90.00°
Fractional coordinates of all 5 atoms:
Ni  0.750  0.250  0.500
Ni  0.250  0.750  0.500
Se  0.382  0.382  0.235
Se  0.618  0.618  0.765
Zr  0.000  0.000  0.000



Energies in meV per atom, measured from the most stable structure: P 112; Q 0.



P | # ZrNiSe

ZrNiSe after structural relaxation (PBE, Alexandria).

Calculated values
As for the space group: F-43m, No. 216.

Cell: 4.408 4.408 4.408 Å, 60.00 60.00 60.00°
Fractional coordinates of all 3 atoms:
Ni  0.000  0.000  0.000
Se  0.500  0.500  0.500
Zr  0.750  0.750  0.750



Q | # ZrNiSe

ZrNiSe after structural relaxation (PBE, Alexandria).

Calculated values
As for the space group: F-43m, No. 216.

Cell: 4.254 4.254 4.254 Å, 60.00 60.00 60.00°
Fractional coordinates of all 3 atoms:
Ni  0.750  0.750  0.750
Se  0.000  0.000  0.000
Zr  0.500  0.500  0.500



Energies in meV per atom, measured from the most stable structure: P 64; Q 0.



P | # Zr2Ni2Se

Zr2Ni2Se after structural relaxation (PBE, Alexandria).

Calculated values
As for the space group: P4/mbm, No. 127.

Cell: 6.973 6.973 3.484 Å, 90.00 90.00 90.00°
Fractional coordinates of all 10 atoms:
Ni  0.376  0.876  0.000
Ni  0.876  0.624  0.000
Ni  0.624  0.124  0.000
Ni  0.124  0.376  0.000
Se  0.000  0.000  0.000
Se  0.500  0.500  0.000
Zr  0.169  0.669  0.500
Zr  0.669  0.831  0.500
Zr  0.831  0.331  0.500
Zr  0.331  0.169  0.500



Q | # Zr2Ni2Se

Zr2Ni2Se after structural relaxation (PBE, Alexandria).

Calculated values
As for the space group: I4/mmm, No. 139.

Cell: 3.413 3.413 7.847 Å, 77.44 77.44 90.00°
Fractional coordinates of all 5 atoms:
Ni  0.750  0.250  0.500
Ni  0.250  0.750  0.500
Se  0.000  0.000  0.000
Zr  0.384  0.384  0.232
Zr  0.616  0.616  0.768



Energies in meV per atom, measured from the most stable structure: P 38; Q 0.



P | # Si5Ni3

Si5Ni3 after structural relaxation (PBE, Alexandria).

Calculated values
As for the space group: Cmmm, No. 65.

Cell: 4.981 4.981 3.998 Å, 90.00 90.00 88.81°
Fractional coordinates of all 8 atoms:
Si  0.000  0.000  0.000
Si  0.000  0.500  0.000
Si  0.500  0.000  0.000
Si  0.302  0.302  0.500
Si  0.698  0.698  0.500
Ni  0.500  0.500  0.000
Ni  0.805  0.195  0.500
Ni  0.195  0.805  0.500



Q | # Si5Ni3

Si5Ni3 after structural relaxation (PBE, Alexandria).

Calculated values
As for the space group: Cm, No. 8.

Cell: 6.322 7.042 6.600 Å, 105.40 100.40 124.02°
Fractional coordinates of all 16 atoms:
Ni  0.796  0.741  0.997
Ni  0.299  0.244  0.003
Ni  0.229  0.060  0.500
Ni  0.567  0.777  0.500
Ni  0.057  0.573  0.817
Ni  0.740  0.256  0.183
Si  0.143  0.659  0.500
Si  0.663  0.159  0.500
Si  0.889  0.180  0.870
Si  0.269  0.974  0.145
Si  0.747  0.624  0.289
Si  0.352  0.494  0.710
Si  0.623  0.329  0.855
Si  0.519  0.810  0.130
Si  0.142  0.284  0.290
Si  0.958  0.835  0.711



R | # Si5Ni3

Si5Ni3 after structural relaxation (PBE, Alexandria).

Calculated values
As for the space group: P6_3/mcm, No. 193.

Cell: 7.102 7.102 4.711 Å, 90.00 90.00 120.00°
Fractional coordinates of all 16 atoms:
Ni  0.565  0.000  0.250
Ni  0.435  0.000  0.750
Ni  0.000  0.565  0.250
Ni  0.435  0.435  0.250
Ni  0.565  0.565  0.750
Ni  0.000  0.435  0.750
Si  0.333  0.667  0.000
Si  0.667  0.333  0.500
Si  0.667  0.333  0.000
Si  0.333  0.667  0.500
Si  0.229  0.000  0.250
Si  0.771  0.000  0.750
Si  0.000  0.229  0.250
Si  0.771  0.771  0.250
Si  0.229  0.229  0.750
Si  0.000  0.771  0.750



Energies in meV per atom, measured from the most stable structure: P 123; Q 0; R 146.